Entry from the Alexandria database: an optimized crystal structure of SiAgAu (PBEsol).

Summary:
The uncorrected formation energy comes out at 0.070 eV/atom. The total magnetic moment comes out at 0.00 μB per cell. The calculated volume is 16.4 Å³ per atom.

Lattice parameters (Å, degrees): 4.356 4.356 3.000 90.00 90.00 120.00
Atoms (fractional coordinates):
Si1 0.000 0.000 0.000
Ag1 0.333 0.667 0.500
Au1 0.667 0.333 0.000